1.
# AcUBr2 (PBE, relaxed)
# Magnetization ... 0.95 μB per atom
# Electronic total energy ... -5.29 eV/atom
# ΔE_f (raw) ... -0.602 eV/atom
# Space group ... R-3m, No. 166
data_AcUBr2
_chemical_formula_sum 'Ac1 U1 Br2'
_space_group_name_H-M_alt 'P 1'
_space_group_IT_number 1
_cell_length_a 10.9601
_cell_length_b 10.9601
_cell_length_c 10.9601
_cell_angle_alpha 19.42
_cell_angle_beta 19.42
_cell_angle_gamma 19.42
loop_
_space_group_symop_operation_xyz
'x,y,z'
loop_
_atom_site_label
_atom_site_type_symbol
_atom_site_fract_x
_atom_site_fract_y
_atom_site_fract_z
_atom_site_occupancy
Ac1 Ac 0.0000 0.0000 0.0000 1
U1 U 0.5000 0.5000 0.5000 1
Br1 Br 0.4076 0.4076 0.4076 1
Br2 Br 0.5924 0.5924 0.5924 1

2.
# ZrTi2Cl (PBE, relaxed)
# Magnetization ... 0.00 μB per atom
# Electronic total energy ... -6.59 eV/atom
# ΔE_f (raw) ... -0.039 eV/atom
# Space group ... I-42d, No. 122
data_ZrTi2Cl
_chemical_formula_sum 'Zr2 Ti4 Cl2'
_space_group_name_H-M_alt 'P 1'
_space_group_IT_number 1
_cell_length_a 5.9744
_cell_length_b 5.9744
_cell_length_c 5.9744
_cell_angle_alpha 100.70
_cell_angle_beta 100.70
_cell_angle_gamma 128.95
loop_
_space_group_symop_operation_xyz
'x,y,z'
loop_
_atom_site_label
_atom_site_type_symbol
_atom_site_fract_x
_atom_site_fract_y
_atom_site_fract_z
_atom_site_occupancy
Zr1 Zr 0.0000 0.0000 0.0000 1
Zr2 Zr 0.7500 0.2500 0.5000 1
Ti1 Ti 0.2109 0.6250 0.0859 1
Ti2 Ti 0.3750 0.4609 0.5859 1
Ti3 Ti 0.5391 0.1250 0.9141 1
Ti4 Ti 0.8750 0.7891 0.4141 1
Cl1 Cl 0.2500 0.7500 0.5000 1
Cl2 Cl 0.5000 0.5000 0.0000 1